[1]
First-principles (PBE-GGA) data for YCdNO after structural relaxation, as listed in the Open Quantum Materials Database.

Calculated values
- E (eV/cell) = -52.718
- total moment (μB/f.u.) = 0.000
- crystal system = tetragonal
- SG = No. 129

Unit cell a=4.886 b=4.886 c=4.647 alpha=90.00 beta=90.00 gamma=90.00
Fractional coordinates of all 8 atoms:
Cd 0.500 0.500 0.999
Y 0.500 0.000 0.500
N 0.500 0.500 0.499
N 0.000 0.000 0.501
O 0.000 0.500 0.000
O 0.500 0.000 0.000
Cd 0.000 0.000 0.001
Y 0.000 0.500 0.500

***

[2]
First-principles (PBE-GGA) data for Co3CuS8 after structural relaxation, as listed in the Open Quantum Materials Database.

Calculated values
- E (eV/cell) = -184.119
- total moment (μB/f.u.) = 1.999
- crystal system = triclinic
- SG = No. 1

Unit cell a=5.529 b=7.865 c=12.427 alpha=71.59 beta=89.92 gamma=89.99
Site moments in Bohr magnetons follow the coordinates.
Fractional coordinates of all 36 atoms:
S 0.888 0.537 0.425  0.03
S 0.389 0.721 0.334  0.03
S 0.618 0.044 0.931  0.01
S 0.098 0.813 0.906  -0.01
Co 0.997 0.336 0.333  0.80
S 0.612 0.277 0.664  0.02
S 0.599 0.605 0.010  -0.01
S 0.401 0.617 0.740  -0.01
S 0.899 0.888 0.759  -0.01
S 0.388 0.963 0.077  0.03
S 0.117 0.455 0.569  0.00
S 0.400 0.382 0.004  0.02
S 0.391 0.297 0.407  0.02
Cu 0.999 0.668 0.667  -0.04
Co 0.001 0.835 0.334  0.79
Co 0.499 0.667 0.171  0.66
S 0.613 0.370 0.258  0.03
Co 0.499 0.499 0.496  0.58
Cu 0.498 0.833 0.833  -0.04
Co 0.495 0.006 0.495  0.60
S 0.111 0.224 0.833  0.02
S 0.115 0.897 0.492  0.01
S 0.119 0.556 0.175  0.01
S 0.383 0.063 0.657  0.01
S 0.595 0.703 0.588  0.01
S 0.885 0.190 0.097  0.00
S 0.112 0.128 0.242  0.03
S 0.891 0.776 0.170  0.03
S 0.886 0.112 0.497  0.03
Co 0.005 0.172 0.660  0.50
Cu 0.000 0.501 0.000  -0.05
Co 0.999 0.000 0.005  0.55
S 0.613 0.946 0.334  0.02
Co 0.504 0.326 0.835  0.59
Co 0.501 0.159 0.171  0.62
S 0.880 0.435 0.832  -0.01